VASP calculation (GGA-PBE) on a geometry-optimized BaAlSbS4 structure.

a = 7.428 Å, b = 6.793 Å, c = 8.481 Å
α = 90.00°, β = 109.28°, γ = 90.00°
Space group P2_1/m (No. 11)
Symmetry-distinct sites (fractional):
Ba  0.229  0.250  0.466 (multiplicity 2)
Al  0.228  0.750  0.189 (multiplicity 2)
Sb  0.269  0.250  0.013 (multiplicity 2)
S  0.033  0.750  0.918 (multiplicity 2)
S  0.092  0.750  0.382 (multiplicity 2)
S  0.440  0.003  0.230 (multiplicity 4)

Output
magnetic moment	0.00	μB per formula unit
electronic total energy	-67.92	eV per cell
E_form (uncorrected)	-1095	meV/atom